Record 1
VASP calculation (SCAN) on a crystal of YAgF2 relaxed with PBEsol.

Unit cell a=4.3597 b=4.3597 c=4.3597 alpha=60.00 beta=60.00 gamma=60.00
Closest atoms and distances in Å follow each position.
Positions (direct):
Y1 0.0000 0.0000 0.0000  8 F 2.67
Ag1 0.5000 0.5000 0.5000  8 F 2.67
F1 0.2500 0.2500 0.2500  4 Ag 2.67, 4 Y 2.67
F2 0.7500 0.7500 0.7500  4 Y 2.67, 4 Ag 2.67

- formation energy without anion corrections (kJ/mol of atoms) = -198.1

Record 2
VASP calculation (SCAN) on a crystal of MgSiAs2 relaxed with PBEsol.

Unit cell a=6.7586 b=6.7586 c=6.7586 alpha=127.81 beta=127.81 gamma=76.93
Closest atoms and distances in Å follow each position.
Positions (direct):
Mg1 0.0000 0.0000 0.0000  4 As 2.62
Mg2 0.7500 0.2500 0.5000  4 As 2.62
Si1 0.2500 0.7500 0.5000  4 As 2.36
Si2 0.5000 0.5000 0.0000  4 As 2.36
As1 0.1615 0.6250 0.0365  2 Si 2.36, 2 Mg 2.62
As2 0.3750 0.4115 0.5365  2 Si 2.36, 2 Mg 2.62
As3 0.5885 0.1250 0.9635  2 Si 2.36, 2 Mg 2.62
As4 0.8750 0.8385 0.4635  2 Si 2.36, 2 Mg 2.62

- formation energy without anion corrections (kJ/mol of atoms) = -38.3

Record 3
VASP calculation (SCAN) on a crystal of Zr2AgPb relaxed with PBEsol.

Unit cell a=5.2555 b=5.2555 c=3.1524 alpha=90.00 beta=90.00 gamma=107.72
Closest atoms and distances in Å follow each position.
Positions (direct):
Zr1 0.0000 0.5000 0.0000  4 Pb 3.06, 4 Ag 3.06, 4 Zr 3.10-3.15
Zr2 0.5000 0.0000 0.0000  4 Pb 3.06, 4 Ag 3.06, 4 Zr 3.10-3.15
Ag1 0.0000 0.0000 0.5000  8 Zr 3.06, 2 Pb 3.10, 2 Ag 3.15
Pb1 0.5000 0.5000 0.5000  8 Zr 3.06, 2 Ag 3.10, 2 Pb 3.15

- energy relative to the elements (eV per atom) = -0.236

Record 4
VASP calculation (SCAN) on a crystal of YTePb2 relaxed with PBEsol.

Unit cell a=4.0402 b=4.3511 c=6.7082 alpha=90.00 beta=101.67 gamma=90.00
Closest atoms and distances in Å follow each position.
Positions (direct):
Y1 0.0000 0.0000 0.0000  4 Te 3.12-3.16, 4 Pb 3.21-3.41
Te1 0.4555 0.5000 0.8438  4 Y 3.12-3.16, 1 Pb 3.20
Pb1 0.3937 0.5000 0.3118  4 Pb 3.07-3.33, 1 Te 3.20, 2 Y 3.21
Pb2 0.9030 0.0000 0.4926  4 Pb 3.07-3.33, 2 Y 3.35-3.41

- formation energy without anion corrections (kJ/mol of atoms) = -62.4

Record 5
VASP calculation (SCAN) on a crystal of Pt2PbO4 relaxed with PBEsol.

Unit cell a=5.5471 b=6.1354 c=6.6508 alpha=115.71 beta=96.91 gamma=108.85
Closest atoms and distances in Å follow each position.
Positions (direct):
Pt1 0.0000 0.0000 0.0000  6 O 2.00-2.02
Pt2 0.0000 0.0000 0.5000  4 O 1.99
Pt3 0.0000 0.5000 0.0000  4 O 2.02
Pt4 0.5000 0.5000 0.0000  4 O 1.98-2.00
Pb1 0.3569 0.7487 0.6369  6 O 2.41-2.69
Pb2 0.6431 0.2513 0.3631  6 O 2.41-2.69
O1 0.0209 0.3617 0.2242  2 Pt 2.02
O2 0.1355 0.8945 0.2244  3 Pt 1.99-2.02
O3 0.3365 0.3340 0.6558  2 Pt 1.99-2.00
O4 0.3752 0.1567 0.9958  2 Pt 1.98-2.00
O5 0.6248 0.8433 0.0042  2 Pt 1.98-2.00
O6 0.6635 0.6660 0.3442  2 Pt 1.99-2.00
O7 0.8645 0.1055 0.7756  3 Pt 1.99-2.02
O8 0.9791 0.6383 0.7758  2 Pt 2.02

- formation energy without anion corrections (kJ/mol of atoms) = -83.8

Record 6
VASP calculation (SCAN) on a crystal of KCdAs2 relaxed with PBEsol.

Unit cell a=5.7737 b=5.7737 c=2.8654 alpha=90.00 beta=90.00 gamma=112.77
Closest atoms and distances in Å follow each position.
Positions (direct):
K1 0.0000 0.0000 0.0000  2 K 2.87, 2 Cd 3.20
Cd1 0.5000 0.5000 0.0000  2 Cd 2.87, 2 K 3.20
As1 0.0000 0.5000 0.5000  4 As 2.87-3.20
As2 0.5000 0.0000 0.5000  4 As 2.87-3.20

- energy relative to the elements (eV per atom) = 0.053

Q: Which formula does entry 3 have?
A: Zr2AgPb

Q: What is the formula in the first record?
A: YAgF2

Q: What is the formula in the second record?
A: MgSiAs2